DFT (GGA+U) results for crystalline Sm2WO6 at its relaxed geometry.

Output
As for the energy above the lowest structure with this stoichiometry: 0 meV per atom. The value obtained for the total magnetization is 0.00 μB/cell.

Lattice parameters (Å, degrees): 5.3891 9.3301 10.1835 90.00 90.00 90.00
With the nearest neighbours (Å) after each atom.
Atoms (fractional coordinates):
O 0.7482 0.5887 0.9923  1 W 2.02
O 0.8294 0.0489 0.2930  1 W 1.90
O 0.2482 0.9113 0.0077  1 W 2.02
O 0.7264 0.1133 0.5666  1 W 1.99
O 0.6868 0.6394 0.7385  1 W 1.93
O 0.8132 0.3606 0.2385  1 W 1.93
O 0.1859 0.8647 0.6798  1 W 1.94
O 0.8141 0.3647 0.8202  1 W 1.94
O 0.5797 0.8464 0.5293  1 W 1.97
O 0.1706 0.5489 0.2070  1 W 1.90
O 0.4203 0.3464 0.9707  1 W 1.97
O 0.3132 0.1394 0.7615  1 W 1.93
O 0.1868 0.8606 0.2615  1 W 1.93
O 0.2518 0.0887 0.5077  1 W 2.02
O 0.9203 0.1536 0.0293  1 W 1.97
O 0.3141 0.1353 0.1798  1 W 1.94
O 0.2736 0.6133 0.9334  1 W 1.99
O 0.7736 0.8867 0.0666  1 W 1.99
O 0.2264 0.3867 0.4334  1 W 1.99
O 0.3294 0.4511 0.7070  1 W 1.90
O 0.0797 0.6536 0.4707  1 W 1.97
O 0.7518 0.4113 0.4923  1 W 2.02
O 0.6706 0.9511 0.7930  1 W 1.90
O 0.6859 0.6353 0.3202  1 W 1.94
Sm 0.4632 0.7187 0.1306  7 O 2.37-2.48
Sm 0.4792 0.6036 0.5363  6 O 2.30-2.48
Sm 0.5368 0.2187 0.3694  7 O 2.37-2.48
Sm 0.5208 0.1036 0.9637  6 O 2.30-2.48
Sm 0.9632 0.7813 0.8694  7 O 2.37-2.48
Sm 0.0208 0.3964 0.0363  6 O 2.30-2.48
Sm 0.0368 0.2813 0.6306  7 O 2.37-2.48
Sm 0.9792 0.8964 0.4637  6 O 2.30-2.48
W 0.9598 0.5038 0.3504  6 O 1.90-2.02
W 0.0402 0.0038 0.1496  6 O 1.90-2.02
W 0.4598 0.9962 0.6496  6 O 1.90-2.02
W 0.5402 0.4962 0.8504  6 O 1.90-2.02